{"formula": "CaCrSi2O6", "functional": "PBE+U", "state": "relaxed", "spacegroup": "No. 15", "e_above_lowest_polymorph_ev_per_atom": 0.015, "lattice_angstrom": [[5.2250, -4.8075, 0.0000], [5.2250, 4.8075, 0.0000], [-1.9724, 0.0000, 5.1735]], "species": ["Ca", "Ca", "Cr", "Cr", "Si", "Si", "Si", "Si", "O", "O", "O", "O", "O", "O", "O", "O", "O", "O", "O", "O"], "frac_coords": [[0.1050, 0.8950, 0.7500], [0.8950, 0.1050, 0.2500], [0.2710, 0.7290, 0.2500], [0.7290, 0.2710, 0.7500], [0.2092, 0.3774, 0.8101], [0.3774, 0.2092, 0.3101], [0.6226, 0.7908, 0.6899], [0.7908, 0.6226, 0.1899], [0.0311, 0.2232, 0.6867], [0.1525, 0.6076, 0.8678], [0.2232, 0.0311, 0.1867], [0.3300, 0.3562, 0.1077], [0.3562, 0.3300, 0.6077], [0.3924, 0.8475, 0.6322], [0.6076, 0.1525, 0.3678], [0.6438, 0.6700, 0.3923], [0.6700, 0.6438, 0.8923], [0.7768, 0.9689, 0.8133], [0.8475, 0.3924, 0.1322], [0.9689, 0.7768, 0.3133]]}